Record 1
# GeMoP3 PBE optimized geometry
data_GeMoP3
_chemical_formula_sum 'Ge1 Mo1 P3'
_symmetry_space_group_name_H-M 'P m -3 m'
_symmetry_Int_Tables_number 221
_symmetry_space_group_name_Hall '-P 4 2 3'
_cell_length_a 4.707
_cell_length_b 4.707
_cell_length_c 4.707
_cell_angle_alpha 90.00
_cell_angle_beta 90.00
_cell_angle_gamma 90.00
loop_
_atom_site_label
_atom_site_type_symbol
_atom_site_fract_x
_atom_site_fract_y
_atom_site_fract_z
Ge1 Ge 0.000 0.000 0.000
Mo1 Mo 0.500 0.500 0.500
P1 P 0.000 0.500 0.500
# Formation energy from the elements ... 0.621 eV per atom
# Final energy ... -0.210 hartree per atom
# ρ ... 4.165 g cm⁻³
# Offset from the most stable computed form ... 0.0000 eV per atom



Record 2
# GeMoP2 PBE optimized geometry
data_GeMoP2
_chemical_formula_sum 'Ge3 Mo3 P6'
_symmetry_space_group_name_H-M 'R -3 m'
_symmetry_Int_Tables_number 166
_symmetry_space_group_name_Hall '-R 3 2"'
_cell_length_a 3.2612
_cell_length_b 3.2612
_cell_length_c 23.3918
_cell_angle_alpha 90.00
_cell_angle_beta 90.00
_cell_angle_gamma 120.00
loop_
_atom_site_label
_atom_site_type_symbol
_atom_site_fract_x
_atom_site_fract_y
_atom_site_fract_z
Ge1 Ge 0.0000 0.0000 0.0000
Mo1 Mo 0.0000 0.0000 0.5000
P1 P 0.0000 0.0000 0.4009
# Formation energy from the elements ... 0.674 eV per atom
# Final energy ... -0.217 hartree per atom
# ρ ... 5.330 g cm⁻³



Record 3
# GeMoP2S PBE optimized geometry
data_GeMoP2S
_chemical_formula_sum 'Ge1 Mo1 P2 S1'
_symmetry_space_group_name_H-M 'P 4/m m m'
_symmetry_Int_Tables_number 123
_symmetry_space_group_name_Hall '-P 4 2'
_cell_length_a 4.596
_cell_length_b 4.596
_cell_length_c 4.652
_cell_angle_alpha 90.00
_cell_angle_beta 90.00
_cell_angle_gamma 90.00
loop_
_atom_site_label
_atom_site_type_symbol
_atom_site_fract_x
_atom_site_fract_y
_atom_site_fract_z
Ge1 Ge 0.000 0.000 0.000
Mo1 Mo 0.500 0.500 0.500
P1 P 0.000 0.500 0.000
S1 S 0.000 0.000 0.500
# Uncorrected formation energy ... 1.149 eV/atom
# Final energy ... -0.181 hartree per atom
# ρ ... 4.438 g cm⁻³
# Offset from the most stable computed form ... 0.6394 eV per atom



Record 4
# GeMoP2S PBE optimized geometry
data_GeMoP2S
_chemical_formula_sum 'Ge1 Mo1 P2 S1'
_symmetry_space_group_name_H-M 'P 4/m m m'
_symmetry_Int_Tables_number 123
_symmetry_space_group_name_Hall '-P 4 2'
_cell_length_a 4.617
_cell_length_b 4.617
_cell_length_c 4.466
_cell_angle_alpha 90.00
_cell_angle_beta 90.00
_cell_angle_gamma 90.00
loop_
_atom_site_label
_atom_site_type_symbol
_atom_site_fract_x
_atom_site_fract_y
_atom_site_fract_z
Ge1 Ge 0.000 0.000 0.000
Mo1 Mo 0.500 0.500 0.000
P1 P 0.000 0.500 0.500
S1 S 0.500 0.500 0.500
# Uncorrected formation energy ... 1.040 eV/atom
# Final energy ... -0.185 hartree per atom
# ρ ... 4.581 g cm⁻³
# Offset from the most stable computed form ... 0.5303 eV per atom



- What is the ρ in the third record?
  4.438 g cm⁻³



- final energy of number 1 (GeMoP3)?
  -0.210 hartree per atom